PBE LaHfCu2, relaxed; calculated total energy = -5.707 eV per atom; spin magnetization = 0.145 μB per atom; symmetry = No. 225; polymorph energy (0 for the lowest one) = 158 meV per atom
1.0
-3.732 -3.145 -0.095
-4.137 1.190 -2.302
-1.203 -2.235 -4.170
Hf Cu La
1 2 1
Cartesian
-4.536 -2.095 -3.283
-2.268 -1.047 -1.641
-6.804 -3.142 -4.924
0.000 0.000 0.000